[1]
# GGA-PBE CrSnW2, relaxed
# **Formation energy from the elements**: 3.65 eV/f.u.
# **DFT total energy**: -8.971 eV per atom
data_CrSnW2
_chemical_formula_sum 'Cr2 Sn2 W4'
_cell_length_a 3.8300
_cell_length_b 3.8300
_cell_length_c 10.2597
_cell_angle_alpha 79.24
_cell_angle_beta 79.24
_cell_angle_gamma 90.00
_symmetry_space_group_name_H-M 'P 1'
_symmetry_Int_Tables_number 1
_symmetry_space_group_name_Hall 'P 1'
loop_
_atom_site_label
_atom_site_fract_x
_atom_site_fract_y
_atom_site_fract_z
W1 0.8750 0.8661 0.7500
W2 0.3750 0.3839 0.7500
W3 0.6161 0.1250 0.2500
W4 0.1339 0.6250 0.2500
Cr1 0.2500 0.7500 0.5000
Cr2 0.5000 0.5000 0.0000
Sn1 0.7500 0.2500 0.5000
Sn2 0.0000 0.0000 0.0000

***

[2]
# GGA-PBE RbBeN2O, relaxed
# **DFT total energy**: -2.315 eV per atom
data_RbBeN2O
_chemical_formula_sum 'Rb1 Be1 N2 O1'
_cell_length_a 4.6396
_cell_length_b 4.6396
_cell_length_c 4.2701
_cell_angle_alpha 90.00
_cell_angle_beta 90.00
_cell_angle_gamma 90.00
_symmetry_space_group_name_H-M 'P 1'
_symmetry_Int_Tables_number 1
_symmetry_space_group_name_Hall 'P 1'
loop_
_atom_site_label
_atom_site_fract_x
_atom_site_fract_y
_atom_site_fract_z
Be1 0.5000 0.5000 0.5000
O1 0.0000 0.0000 0.5000
N1 0.0000 0.5000 0.0000
N2 0.5000 0.0000 0.0000
Rb1 0.0000 0.0000 0.0000

***

[3]
# GGA-PBE K2HgSb, relaxed
# **Polymorph energy (0 for the lowest one)**: 8.37 kJ/mol of atoms
# **DFT total energy**: -1.905 eV per atom
data_K2HgSb
_chemical_formula_sum 'K2 Hg1 Sb1'
_cell_length_a 5.9196
_cell_length_b 5.9196
_cell_length_c 5.9196
_cell_angle_alpha 60.00
_cell_angle_beta 60.00
_cell_angle_gamma 60.00
_symmetry_space_group_name_H-M 'P 1'
_symmetry_Int_Tables_number 1
_symmetry_space_group_name_Hall 'P 1'
loop_
_atom_site_label
_atom_site_fract_x
_atom_site_fract_y
_atom_site_fract_z
K1 0.7500 0.7500 0.7500
K2 0.2500 0.2500 0.2500
Sb1 0.0000 0.0000 0.0000
Hg1 0.5000 0.5000 0.5000

***

[4]
# GGA-PBE Ac3Pm4Rh4, relaxed
# **Formation energy from the elements**: -5.65 eV/f.u.
# **DFT total energy**: -6.035 eV per atom
data_Ac3Pm4Rh4
_chemical_formula_sum 'Ac3 Pm4 Rh4'
_cell_length_a 4.0817
_cell_length_b 9.1684
_cell_length_c 9.6271
_cell_angle_alpha 118.44
_cell_angle_beta 102.24
_cell_angle_gamma 90.00
_symmetry_space_group_name_H-M 'P 1'
_symmetry_Int_Tables_number 1
_symmetry_space_group_name_Hall 'P 1'
loop_
_atom_site_label
_atom_site_fract_x
_atom_site_fract_y
_atom_site_fract_z
Rh1 0.5000 0.2338 0.0000
Rh2 0.5000 0.7662 0.0000
Rh3 0.2448 0.7448 0.4897
Rh4 0.7552 0.2552 0.5103
Ac1 0.1030 0.1030 0.2060
Ac2 0.8970 0.8970 0.7940
Ac3 0.0000 0.5000 0.0000
Pm1 0.6692 0.8574 0.3383
Pm2 0.3308 0.5190 0.6617
Pm3 0.6692 0.4810 0.3383
Pm4 0.3308 0.1426 0.6617

***

[5]
# GGA-PBE Li4InRe, relaxed
# **Formation energy from the elements**: 2.18 eV/f.u.
# **DFT total energy**: -3.444 eV per atom
data_Li4InRe
_chemical_formula_sum 'Li4 In1 Re1'
_cell_length_a 4.9646
_cell_length_b 4.9646
_cell_length_c 4.9646
_cell_angle_alpha 60.00
_cell_angle_beta 60.00
_cell_angle_gamma 60.00
_symmetry_space_group_name_H-M 'P 1'
_symmetry_Int_Tables_number 1
_symmetry_space_group_name_Hall 'P 1'
loop_
_atom_site_label
_atom_site_fract_x
_atom_site_fract_y
_atom_site_fract_z
Li1 0.3769 0.3769 0.8693
Li2 0.8693 0.3769 0.3769
Li3 0.3769 0.3769 0.3769
Li4 0.3769 0.8693 0.3769
Re1 0.7500 0.7500 0.7500
In1 0.0000 0.0000 0.0000

***

[6]
# GGA-PBE LiYRu2, relaxed
# **Formation energy from the elements**: 0.53 eV/f.u.
# **Polymorph energy (0 for the lowest one)**: 4.65 kJ/mol of atoms
# **DFT total energy**: -6.600 eV per atom
data_LiYRu2
_chemical_formula_sum 'Li1 Y1 Ru2'
_cell_length_a 4.3298
_cell_length_b 3.9126
_cell_length_c 3.9126
_cell_angle_alpha 90.00
_cell_angle_beta 90.00
_cell_angle_gamma 90.00
_symmetry_space_group_name_H-M 'P 1'
_symmetry_Int_Tables_number 1
_symmetry_space_group_name_Hall 'P 1'
loop_
_atom_site_label
_atom_site_fract_x
_atom_site_fract_y
_atom_site_fract_z
Y1 0.5000 0.5000 0.0000
Ru1 0.0000 0.5000 0.5000
Ru2 0.0000 0.0000 0.0000
Li1 0.5000 0.0000 0.5000

***

[7]
# GGA-PBE NaSn2H, relaxed
# **Polymorph energy (0 for the lowest one)**: 17.42 kJ/mol of atoms
# **DFT total energy**: -2.944 eV per atom
data_NaSn2H
_chemical_formula_sum 'Na2 Sn4 H2'
_cell_length_a 5.8799
_cell_length_b 5.8799
_cell_length_c 7.4136
_cell_angle_alpha 66.64
_cell_angle_beta 66.64
_cell_angle_gamma 90.00
_symmetry_space_group_name_H-M 'P 1'
_symmetry_Int_Tables_number 1
_symmetry_space_group_name_Hall 'P 1'
loop_
_atom_site_label
_atom_site_fract_x
_atom_site_fract_y
_atom_site_fract_z
Sn1 0.3133 0.6250 0.2500
Sn2 0.8750 0.6867 0.7500
Sn3 0.4367 0.1250 0.2500
Sn4 0.3750 0.5633 0.7500
H1 0.2500 0.7500 0.5000
H2 0.5000 0.5000 0.0000
Na1 0.7500 0.2500 0.5000
Na2 0.0000 0.0000 0.0000

***

[8]
# GGA-PBE K2Tm2HfS6, relaxed
# **DFT total energy**: -5.995 eV per atom
data_K2Tm2HfS6
_chemical_formula_sum 'K2 Tm2 Hf1 S6'
_cell_length_a 6.6931
_cell_length_b 6.6931
_cell_length_c 7.8742
_cell_angle_alpha 98.39
_cell_angle_beta 98.39
_cell_angle_gamma 119.64
_symmetry_space_group_name_H-M 'P 1'
_symmetry_Int_Tables_number 1
_symmetry_space_group_name_Hall 'P 1'
loop_
_atom_site_label
_atom_site_fract_x
_atom_site_fract_y
_atom_site_fract_z
Tm1 0.3334 0.6666 0.5000
Tm2 0.6666 0.3334 0.5000
S1 0.7488 0.7488 0.6917
S2 0.9345 0.6158 0.3072
S3 0.0655 0.3842 0.6928
S4 0.2512 0.2512 0.3083
S5 0.6158 0.9345 0.3072
S6 0.3842 0.0655 0.6928
K1 0.1696 0.8304 0.0000
K2 0.8304 0.1696 0.0000
Hf1 0.0000 0.0000 0.5000

***

[9]
# GGA-PBE La4GaGeI2, relaxed
# **DFT total energy**: -4.769 eV per atom
data_La4GaGeI2
_chemical_formula_sum 'La4 Ga1 Ge1 I2'
_cell_length_a 4.5053
_cell_length_b 7.8262
_cell_length_c 8.0676
_cell_angle_alpha 108.81
_cell_angle_beta 90.00
_cell_angle_gamma 90.00
_symmetry_space_group_name_H-M 'P 1'
_symmetry_Int_Tables_number 1
_symmetry_space_group_name_Hall 'P 1'
loop_
_atom_site_label
_atom_site_fract_x
_atom_site_fract_y
_atom_site_fract_z
La1 0.5000 0.7649 0.7921
La2 0.5000 0.2351 0.2079
La3 0.0000 0.7374 0.2103
La4 0.0000 0.2626 0.7897
Ga1 0.5000 0.5000 0.0000
Ge1 0.0000 0.0000 0.0000
I1 0.5000 0.0000 0.5000
I2 0.0000 0.5000 0.5000

***

[10]
# GGA-PBE Tb5Sm3Y, relaxed
# **Formation energy from the elements**: 1.49 eV/f.u.
# **Polymorph energy (0 for the lowest one)**: 0.00 kJ/mol of atoms
# **DFT total energy**: -4.698 eV per atom
data_Tb5Sm3Y
_chemical_formula_sum 'Tb10 Sm6 Y2'
_cell_length_a 12.1623
_cell_length_b 12.1623
_cell_length_c 11.4766
_cell_angle_alpha 44.08
_cell_angle_beta 44.08
_cell_angle_gamma 32.15
_symmetry_space_group_name_H-M 'P 1'
_symmetry_Int_Tables_number 1
_symmetry_space_group_name_Hall 'P 1'
loop_
_atom_site_label
_atom_site_fract_x
_atom_site_fract_y
_atom_site_fract_z
Sm1 0.3822 0.1411 0.1187
Sm2 0.8589 0.6178 0.3813
Sm3 0.1411 0.3822 0.6187
Sm4 0.0000 0.0000 0.5000
Sm5 0.6178 0.8589 0.8813
Sm6 0.0000 0.0000 0.0000
Tb1 0.2934 0.0581 0.5178
Tb2 0.0581 0.2934 0.0178
Tb3 0.3171 0.6829 0.7500
Tb4 0.9419 0.7066 0.9822
Tb5 0.7066 0.9419 0.4822
Tb6 0.3896 0.3953 0.1699
Tb7 0.6104 0.6047 0.8301
Tb8 0.3953 0.3896 0.6699
Tb9 0.6047 0.6104 0.3301
Tb10 0.6829 0.3171 0.2500
Y1 0.7716 0.2284 0.7500
Y2 0.2284 0.7716 0.2500

***

[11]
# GGA-PBE La12Dy5Ho, relaxed
# **Formation energy from the elements**: 0.29 eV/f.u.
# **DFT total energy**: -4.802 eV per atom
data_La12Dy5Ho
_chemical_formula_sum 'La12 Dy5 Ho1'
_cell_length_a 6.3743
_cell_length_b 6.3743
_cell_length_c 18.0739
_cell_angle_alpha 86.66
_cell_angle_beta 86.66
_cell_angle_gamma 120.02
_symmetry_space_group_name_H-M 'P 1'
_symmetry_Int_Tables_number 1
_symmetry_space_group_name_Hall 'P 1'
loop_
_atom_site_label
_atom_site_fract_x
_atom_site_fract_y
_atom_site_fract_z
La1 0.0540 0.3870 0.8360
La2 0.5536 0.2203 0.3369
La3 0.2203 0.5536 0.3369
La4 0.8871 0.8871 0.3369
La5 0.2790 0.2790 0.1640
La6 0.1129 0.1129 0.6631
La7 0.3870 0.0540 0.8360
La8 0.7797 0.4464 0.6631
La9 0.9460 0.6130 0.1640
La10 0.4464 0.7797 0.6631
La11 0.7210 0.7210 0.8360
La12 0.6130 0.9460 0.1640
Dy1 0.5000 0.5000 0.5000
Dy2 0.1667 0.8333 0.5000
Dy3 0.6667 0.3333 0.0000
Dy4 0.8333 0.1667 0.5000
Dy5 0.3333 0.6667 0.0000
Ho1 0.0000 0.0000 0.0000

***

[12]
# GGA-PBE SrAsSe, relaxed
# **DFT total energy**: -3.693 eV per atom
data_SrAsSe
_chemical_formula_sum 'Sr1 As1 Se1'
_cell_length_a 5.0890
_cell_length_b 5.0890
_cell_length_c 5.0890
_cell_angle_alpha 60.00
_cell_angle_beta 60.00
_cell_angle_gamma 60.00
_symmetry_space_group_name_H-M 'P 1'
_symmetry_Int_Tables_number 1
_symmetry_space_group_name_Hall 'P 1'
loop_
_atom_site_label
_atom_site_fract_x
_atom_site_fract_y
_atom_site_fract_z
As1 0.0000 0.0000 0.0000
Se1 0.5000 0.5000 0.5000
Sr1 0.7500 0.7500 0.7500